# Ac3Mn2ZnO9

A relaxed Ac3Mn2ZnO9 crystal (GGA+U, Alexandria).

Unit cell a=5.644 b=5.644 c=6.916 alpha=90.00 beta=90.00 gamma=120.00
Fractional positions:
O: 0.658 0.829 0.328
O: 0.000 0.500 0.000
O: 0.829 0.171 0.672
O: 0.500 0.500 0.000
O: 0.829 0.658 0.672
O: 0.171 0.342 0.328
O: 0.500 0.000 0.000
O: 0.342 0.171 0.672
O: 0.171 0.829 0.328
Ac: 0.667 0.333 0.339
Ac: 0.000 0.000 0.000
Ac: 0.333 0.667 0.661
Mn: 0.667 0.333 0.835
Mn: 0.333 0.667 0.165
Zn: 0.000 0.000 0.500

Values from the calculation:
* uncorrected energy: -7.350 eV/atom
* space group: No. 164
* crystal system: trigonal